(1)
LaYIr2 GGA-PBEsol relaxed; DOS at the Fermi energy = 1.54 states/eV/cell; uncorrected energy = -8.30 eV/atom; formation energy from the elements = -33.27 kJ/mol of atoms; crystal system = orthorhombic
1.0
3.265 0.000 0.000
0.000 4.736 0.000
0.000 0.000 5.644
Ir La Y
2 1 1
direct
0.000 0.000 0.912
0.500 0.500 0.337
0.000 0.000 0.413
0.500 0.500 0.837

(2)
Ag3SBr GGA-PBEsol relaxed; formation energy from raw total energies = -98 meV/atom; uncorrected energy = -3.34 eV/atom; crystal system = orthorhombic
1.0
-2.608 5.200 -3.299
0.322 -3.800 -5.493
-3.183 -2.320 5.263
Ag S Br
6 2 2
direct
0.076 0.576 0.151
0.087 0.390 0.478
0.576 0.076 0.151
0.390 0.087 0.478
0.531 0.531 0.062
0.965 0.965 0.929
0.238 0.733 0.971
0.733 0.238 0.971
0.991 0.991 0.520
0.529 0.529 0.520

(3)
BaCu2Ag GGA-PBEsol relaxed; DOS at the Fermi energy = 1.42 states/eV/cell; uncorrected energy = -3.20 eV/atom; formation energy from the elements = 32.21 kJ/mol of atoms; crystal system = cubic
1.0
-2.897 -3.544 -1.903
-1.348 -3.866 2.795
-4.698 -0.442 1.519
Ag Ba Cu
1 1 2
direct
0.500 0.500 0.500
0.000 0.000 0.000
0.250 0.250 0.250
0.750 0.750 0.750

(4)
YSe GGA-PBEsol relaxed; DOS at the Fermi energy = 0.95 states/eV/cell; formation energy from raw total energies = -1857 meV/atom; uncorrected energy = -7.19 eV/atom; crystal system = cubic
1.0
-2.310 0.363 3.272
-3.143 -2.454 0.525
0.110 -2.824 2.862
Y Se
1 1
direct
0.500 0.500 0.500
0.000 0.000 0.000

(5)
LaAg13 GGA-PBEsol relaxed; DOS at the Fermi energy = 9.31 states/eV/cell; uncorrected energy = -3.47 eV/atom; formation energy from the elements = -1.18 kJ/mol of atoms; crystal system = cubic
1.0
9.084 0.000 0.000
4.542 7.867 0.000
4.542 2.622 7.417
Ag La
26 2
direct
0.438 0.201 0.799
0.201 0.438 0.562
0.799 0.562 0.438
0.562 0.799 0.201
0.562 0.201 0.438
0.799 0.438 0.201
0.201 0.562 0.799
0.438 0.799 0.562
0.799 0.201 0.562
0.562 0.438 0.799
0.438 0.562 0.201
0.201 0.799 0.438
0.299 0.062 0.701
0.062 0.299 0.938
0.938 0.701 0.062
0.701 0.938 0.299
0.299 0.938 0.062
0.062 0.701 0.299
0.938 0.299 0.701
0.701 0.062 0.938
0.299 0.701 0.938
0.062 0.938 0.701
0.938 0.062 0.299
0.701 0.299 0.062
0.500 0.500 0.500
0.000 0.000 0.000
0.750 0.750 0.750
0.250 0.250 0.250

(6)
NiP2H24C4O14 GGA-PBEsol relaxed; uncorrected energy = -5.56 eV/atom; crystal system = monoclinic
1.0
-5.364 -3.575 2.922
-2.132 -3.822 -8.590
7.943 -6.861 6.187
Ni P H C O
2 4 48 8 28
direct
0.000 0.500 0.500
0.500 0.000 0.500
0.481 0.471 0.246
0.519 0.529 0.754
0.981 0.029 0.754
0.019 0.971 0.246
0.267 0.709 0.143
0.274 0.199 0.994
0.610 0.030 0.302
0.304 0.642 0.601
0.278 0.236 0.524
0.671 0.248 0.623
0.726 0.801 0.006
0.890 0.530 0.302
0.657 0.142 0.902
0.875 0.067 0.067
0.110 0.470 0.698
0.611 0.731 0.203
0.171 0.878 0.415
0.125 0.933 0.933
0.389 0.269 0.797
0.343 0.858 0.098
0.621 0.954 0.691
0.121 0.546 0.309
0.329 0.752 0.377
0.163 0.349 0.853
0.233 0.209 0.143
0.829 0.122 0.585
0.778 0.264 0.476
0.157 0.358 0.098
0.843 0.642 0.902
0.329 0.378 0.415
0.671 0.622 0.585
0.111 0.769 0.797
0.625 0.567 0.067
0.375 0.433 0.933
0.804 0.858 0.399
0.879 0.454 0.691
0.196 0.142 0.601
0.337 0.849 0.853
0.171 0.252 0.377
0.696 0.358 0.399
0.837 0.651 0.147
0.390 0.970 0.698
0.767 0.791 0.857
0.226 0.699 0.994
0.774 0.301 0.006
0.722 0.764 0.476
0.222 0.736 0.524
0.889 0.231 0.203
0.379 0.046 0.309
0.663 0.151 0.147
0.733 0.291 0.857
0.829 0.748 0.623
0.267 0.273 0.087
0.188 0.874 0.845
0.312 0.374 0.845
0.767 0.227 0.913
0.233 0.773 0.087
0.688 0.626 0.155
0.812 0.126 0.155
0.733 0.727 0.913
0.318 0.468 0.777
0.829 0.911 0.732
0.493 0.005 0.335
0.010 0.095 0.661
0.187 0.669 0.567
0.182 0.968 0.777
0.216 0.342 0.447
0.510 0.405 0.339
0.949 0.157 0.882
0.682 0.532 0.223
0.551 0.657 0.882
0.993 0.495 0.665
0.716 0.158 0.553
0.687 0.831 0.433
0.313 0.169 0.567
0.007 0.505 0.335
0.671 0.411 0.732
0.171 0.089 0.268
0.990 0.905 0.339
0.051 0.843 0.118
0.818 0.032 0.223
0.490 0.595 0.661
0.329 0.589 0.268
0.784 0.658 0.553
0.449 0.343 0.118
0.284 0.842 0.447
0.813 0.331 0.433
0.507 0.995 0.665